1.
VASP calculation (GGA-PBE) on Rb2TeMoI6 after structural relaxation.

```
Rb2TeMoI6
1.0
-4.403 4.403 5.866
4.403 -4.403 5.866
4.403 4.403 -5.866
Rb Te Mo I
2 1 1 6
Direct
0.250 0.750 0.500
0.750 0.250 0.500
0.000 0.000 0.000
0.500 0.500 0.000
0.255 0.255 0.000
0.273 0.273 0.546
0.273 0.727 0.000
0.727 0.273 0.000
0.727 0.727 0.454
0.745 0.745 0.000
```

Computed properties:
V	455	Å³ per cell
uncorrected formation energy	-0.4907	eV per atom
symmetry	I4/mmm
E_tot	-3.01	eV/atom

***

2.
VASP calculation (GGA-PBE) on BaCr2Ag after structural relaxation.

```
BaCr2Ag
1.0
4.258 0.000 0.000
-2.129 3.687 0.000
0.000 0.000 19.906
Ba Cr Ag
3 6 3
Direct
0.000 0.000 0.000
0.333 0.667 0.667
0.667 0.333 0.333
0.000 0.000 0.213
0.000 0.000 0.787
0.333 0.667 0.454
0.333 0.667 0.879
0.667 0.333 0.121
0.667 0.333 0.546
0.000 0.000 0.500
0.333 0.667 0.167
0.667 0.333 0.833
```

Computed properties:
V	313	Å³ per cell
ΔE_f	0.852	eV/atom
distance to the lowest polymorph of the same formula	338	meV/atom
symmetry	R-3m
E_tot	-5.15	eV/atom

***

3.
VASP calculation (GGA-PBE) on CaAc9La2 after structural relaxation.

```
CaAc9La2
1.0
5.584 0.000 0.000
0.000 5.584 0.000
0.000 0.000 16.708
Ca Ac La
1 9 2
Direct
0.000 0.000 0.000
0.000 0.500 0.170
0.000 0.500 0.500
0.000 0.500 0.830
0.500 0.000 0.170
0.500 0.000 0.500
0.500 0.000 0.830
0.500 0.500 0.000
0.500 0.500 0.334
0.500 0.500 0.666
0.000 0.000 0.332
0.000 0.000 0.668
```

Computed properties:
V	521	Å³ per cell
ΔE_f	0.018	eV/atom
symmetry	P4/mmm
E_tot	-4.05	eV/atom

***

4.
VASP calculation (GGA-PBE) on Ti5CuIr6 after structural relaxation.

```
Ti5CuIr6
1.0
-2.082 3.447 6.210
2.082 -3.447 6.210
2.082 3.447 -6.210
Ti Cu Ir
5 1 6
Direct
0.000 0.000 0.000
0.176 0.676 0.500
0.351 0.351 0.000
0.649 0.649 0.000
0.824 0.324 0.500
0.500 0.000 0.500
0.072 0.832 0.240
0.231 0.500 0.731
0.409 0.168 0.240
0.591 0.832 0.760
0.769 0.500 0.269
0.928 0.168 0.760
```

Computed properties:
V	178	Å³ per cell
ΔE_f	-0.757	eV/atom
symmetry	Immm
E_tot	-8.82	eV/atom

***

5.
VASP calculation (GGA-PBE) on TbDy2Zn after structural relaxation.

```
TbDy2Zn
1.0
3.561 0.000 0.000
0.000 3.561 0.000
0.000 0.000 8.610
Tb Dy Zn
1 2 1
Direct
0.000 0.000 0.000
0.500 0.500 0.293
0.500 0.500 0.707
0.000 0.000 0.500
```

Computed properties:
V	109	Å³ per cell
ΔE_f	-0.161	eV/atom
distance to the lowest polymorph of the same formula	0	meV/atom
symmetry	P4/mmm
E_tot	-3.94	eV/atom

***

6.
VASP calculation (GGA-PBE) on HfMn2Mo after structural relaxation.

```
HfMn2Mo
1.0
6.125 0.000 0.000
0.000 6.125 0.000
0.000 0.000 6.125
Hf Mn Mo
4 8 4
Direct
0.000 0.000 0.000
0.000 0.500 0.500
0.500 0.000 0.500
0.500 0.500 0.000
0.250 0.250 0.250
0.250 0.250 0.750
0.250 0.750 0.250
0.250 0.750 0.750
0.750 0.250 0.250
0.750 0.250 0.750
0.750 0.750 0.250
0.750 0.750 0.750
0.000 0.000 0.500
0.000 0.500 0.000
0.500 0.000 0.000
0.500 0.500 0.500
```

Computed properties:
V	230	Å³ per cell
ΔE_f	-0.079	eV/atom
distance to the lowest polymorph of the same formula	0	meV/atom
symmetry	Fm-3m
E_tot	-9.86	eV/atom